No. 1
Material: Dy2Tm6Hg
Method: DFT, PBE
State: optimized geometry

Structure (CIF):
```
data_Dy2Tm6Hg
_space_group_name_H-M_alt 'C 1 2/m 1'
_space_group_IT_number 12
_space_group_name_Hall '-C 2y'
_cell_length_a 15.741
_cell_length_b 9.997
_cell_length_c 3.491
_cell_angle_alpha 90.00
_cell_angle_beta 102.78
_cell_angle_gamma 90.00
loop_
_atom_site_label
_atom_site_type_symbol
_atom_site_fract_x
_atom_site_fract_y
_atom_site_fract_z
Dy1 Dy 0.146 0.000 0.147
Tm1 Tm 0.000 0.219 0.500
Tm2 Tm 0.180 0.340 0.181
Hg1 Hg 0.000 0.500 0.000
```

Results
DFT formation energy in eV per atom: -0.004
Size of the total moment in μB per formula unit: 0.00
DOS(E_F) in states/eV/cell: 20.20
Total energy in eV for the cell shown: -72.74


No. 2
Material: DyTm2Hg
Method: DFT, PBE
State: optimized geometry

Structure (CIF):
```
data_DyTm2Hg
_space_group_name_H-M_alt 'R 3 m'
_space_group_IT_number 160
_space_group_name_Hall 'R 3 -2"'
_cell_length_a 3.6039
_cell_length_b 3.6039
_cell_length_c 31.0325
_cell_angle_alpha 90.00
_cell_angle_beta 90.00
_cell_angle_gamma 120.00
loop_
_atom_site_label
_atom_site_type_symbol
_atom_site_fract_x
_atom_site_fract_y
_atom_site_fract_z
Dy1 Dy 0.0000 0.0000 0.0000
Tm1 Tm 0.0000 0.0000 0.2426
Tm2 Tm 0.0000 0.0000 0.4242
Hg1 Hg 0.0000 0.0000 0.8336
```

Results
DFT formation energy in eV per atom: -0.160
Energy relative to the lowest polymorph listed for this composition in eV per atom: 0.071
Size of the total moment in μB per formula unit: 0.47
DOS(E_F) in states/eV/cell: 15.26
Total energy in eV for the cell shown: -43.46


No. 3
Material: DyTm5Hg6
Method: DFT, PBE
State: optimized geometry

Structure (CIF):
```
data_DyTm5Hg6
_space_group_name_H-M_alt 'P 1 2/m 1'
_space_group_IT_number 10
_space_group_name_Hall '-P 2y'
_cell_length_a 5.191
_cell_length_b 7.378
_cell_length_c 8.229
_cell_angle_alpha 90.00
_cell_angle_beta 108.04
_cell_angle_gamma 90.00
loop_
_atom_site_label
_atom_site_type_symbol
_atom_site_fract_x
_atom_site_fract_y
_atom_site_fract_z
Dy1 Dy 0.000 0.000 0.000
Tm1 Tm 0.000 0.500 0.000
Tm2 Tm 0.332 0.000 0.665
Tm3 Tm 0.334 0.500 0.669
Hg1 Hg 0.168 0.252 0.335
Hg2 Hg 0.500 0.252 0.000
```

Results
DFT formation energy in eV per atom: -0.480
Size of the total moment in μB per formula unit: 0.00
DOS(E_F) in states/eV/cell: 8.00
Total energy in eV for the cell shown: -34.53


No. 4
Material: DyTm2Hg4
Method: DFT, PBE
State: optimized geometry

Structure (CIF):
```
data_DyTm2Hg4
_space_group_name_H-M_alt 'I 4/m m m'
_space_group_IT_number 139
_space_group_name_Hall '-I 4 2'
_cell_length_a 5.599
_cell_length_b 5.599
_cell_length_c 15.205
_cell_angle_alpha 90.00
_cell_angle_beta 90.00
_cell_angle_gamma 90.00
loop_
_atom_site_label
_atom_site_type_symbol
_atom_site_fract_x
_atom_site_fract_y
_atom_site_fract_z
Dy1 Dy 0.000 0.000 0.000
Tm1 Tm 0.000 0.000 0.399
Hg1 Hg 0.000 0.000 0.201
Hg2 Hg 0.000 0.500 0.000
```

Results
DFT formation energy in eV per atom: 0.074
Energy relative to the lowest polymorph listed for this composition in eV per atom: 0.472
Size of the total moment in μB per formula unit: 0.00
DOS(E_F) in states/eV/cell: 12.78
Total energy in eV for the cell shown: -28.47


No. 5
Material: DyTm2Hg2
Method: DFT, PBE
State: optimized geometry

Structure (CIF):
```
data_DyTm2Hg2
_space_group_name_H-M_alt 'P -3 m 1'
_space_group_IT_number 164
_space_group_name_Hall '-P 3 2"'
_cell_length_a 5.0967
_cell_length_b 5.0967
_cell_length_c 6.3372
_cell_angle_alpha 90.00
_cell_angle_beta 90.00
_cell_angle_gamma 120.00
loop_
_atom_site_label
_atom_site_type_symbol
_atom_site_fract_x
_atom_site_fract_y
_atom_site_fract_z
Dy1 Dy 0.0000 0.0000 0.0000
Tm1 Tm 0.3333 0.6667 0.6607
Hg1 Hg 0.3333 0.6667 0.1825
```

Results
DFT formation energy in eV per atom: -0.236
Energy relative to the lowest polymorph listed for this composition in eV per atom: 0.150
Size of the total moment in μB per formula unit: 0.00
DOS(E_F) in states/eV/cell: 5.78
Total energy in eV for the cell shown: -15.33


No. 6
Material: Dy2TmHg3
Method: DFT, PBE
State: optimized geometry

Structure (CIF):
```
data_Dy2TmHg3
_space_group_name_H-M_alt 'P 4/m m m'
_space_group_IT_number 123
_space_group_name_Hall '-P 4 2'
_cell_length_a 3.711
_cell_length_b 3.711
_cell_length_c 11.096
_cell_angle_alpha 90.00
_cell_angle_beta 90.00
_cell_angle_gamma 90.00
loop_
_atom_site_label
_atom_site_type_symbol
_atom_site_fract_x
_atom_site_fract_y
_atom_site_fract_z
Dy1 Dy 0.000 0.000 0.168
Tm1 Tm 0.000 0.000 0.500
Hg1 Hg 0.500 0.500 0.000
Hg2 Hg 0.500 0.500 0.337
```

Results
DFT formation energy in eV per atom: -0.480
Energy relative to the lowest polymorph listed for this composition in eV per atom: 0.000
Size of the total moment in μB per formula unit: 0.00
DOS(E_F) in states/eV/cell: 5.51
Total energy in eV for the cell shown: -17.46


Which value of size of the total moment does entry 6 give?
0.00 μB per formula unit